NiSnSe after structural relaxation, computed with PBE.

**Formation energy (no corrections)**: -0.213 eV/atom
**ρ**: 6.9 g/cm3
**Space group**: P3m1 (156)

Lattice parameters (Å, degrees): 5.0169 3.7760 3.7760 120.00 90.00 90.00
Element x y z (fractional)
Se1 0.1112 0.0000 0.0000
Ni1 0.2943 0.6667 0.3333
Sn1 0.5944 0.3333 0.6667

ErSc2Pt2 after structural relaxation, computed with PBE.

**ρ**: 9.8 g/cm3
**E_form**: -1.055 eV per atom
**Space group**: P-3m1 (164)

Lattice parameters (Å, degrees): 4.6955 4.6955 5.7268 90.00 90.00 120.00
Element x y z (fractional)
Pt1 0.3333 0.6667 0.1832
Pt2 0.6667 0.3333 0.8168
Sc1 0.3333 0.6667 0.6560
Sc2 0.6667 0.3333 0.3440
Er1 0.0000 0.0000 0.0000

LaDy2Er after structural relaxation, computed with PBE.

**ρ**: 8.0 g/cm3
**E_form**: 0.040 eV per atom
**Space group**: I4/mmm (139)

Lattice parameters (Å, degrees): 5.0882 10.1141 5.0885 90.00 90.00 90.00
Element x y z (fractional)
Er1 0.2500 0.7500 0.7501
Er2 0.7500 0.2500 0.2499
La1 0.2500 0.2500 0.7499
La2 0.7500 0.7500 0.2501
Dy1 0.7500 0.0000 0.7501
Dy2 0.2500 0.0000 0.2499
Dy3 0.2500 0.5000 0.2499
Dy4 0.7500 0.5000 0.7501

PuBN2 after structural relaxation, computed with PBE.

**Formation energy (no corrections)**: 0.622 eV/atom
**ρ**: 11.7 g/cm3
**Space group**: R-3m (166)

Lattice parameters (Å, degrees): 2.8434 2.8434 5.9492 76.17 76.17 60.00
Last column: magnetic moment on the atom in μB.
Element x y z (fractional)
B1 0.5000 0.5000 0.5000  0.03
N1 0.8831 0.8831 0.3506  -0.10
N2 0.1169 0.1169 0.6494  -0.10
Pu1 0.0000 0.0000 0.0000  3.32

TbTm2Zn9 after structural relaxation, computed with PBE.

**ρ**: 8.3 g/cm3
**E_form**: -0.317 eV per atom
**Space group**: R-3m (166)

Lattice parameters (Å, degrees): 5.4150 5.4150 9.0722 72.64 72.64 60.00
Element x y z (fractional)
Zn1 0.5000 0.5000 0.5000
Zn2 0.0765 0.5864 0.7507
Zn3 0.5864 0.0765 0.7507
Zn4 0.9235 0.4136 0.2493
Zn5 0.4136 0.9235 0.2493
Zn6 0.3350 0.3350 0.9951
Zn7 0.4136 0.4136 0.2493
Zn8 0.5864 0.5864 0.7507
Zn9 0.6650 0.6650 0.0049
Tb1 0.0000 0.0000 0.0000
Tm1 0.8598 0.8598 0.4206
Tm2 0.1402 0.1402 0.5794

YTa3O9 after structural relaxation, computed with PBE.

**Formation energy (no corrections)**: -3.007 eV/atom
**ρ**: 8.3 g/cm3
**Space group**: Pnma (62)

Lattice parameters (Å, degrees): 6.4705 7.6460 12.6068 90.00 90.00 90.00
Element x y z (fractional)
O1 0.6078 0.4624 0.1686
O2 0.7042 0.5314 0.9642
O3 0.2958 0.4686 0.0357
O4 0.4873 0.5441 0.3428
O5 0.0127 0.4559 0.8428
O6 0.2042 0.9686 0.5357
O7 0.1078 0.4624 0.3314
O8 0.7958 0.4686 0.4642
O9 0.0127 0.0441 0.8428
O10 0.4873 0.9559 0.3428
O11 0.2042 0.5314 0.5357
O12 0.3922 0.5376 0.8314
O13 0.9268 0.2500 0.0267
O14 0.1593 0.2500 0.6692
O15 0.8002 0.2500 0.3078
O16 0.3922 0.9624 0.8314
O17 0.8922 0.5376 0.6686
O18 0.1078 0.0376 0.3314
O19 0.5127 0.4559 0.6572
O20 0.4268 0.2500 0.4733
O21 0.2958 0.0314 0.0357
O22 0.9873 0.5441 0.1572
O23 0.3407 0.7500 0.1693
O24 0.6078 0.0376 0.1686
O25 0.5127 0.0441 0.6572
O26 0.7958 0.0314 0.4642
O27 0.8922 0.9624 0.6686
O28 0.0732 0.7500 0.9733
O29 0.8407 0.7500 0.3308
O30 0.5732 0.7500 0.5267
O31 0.7042 0.9686 0.9642
O32 0.1998 0.7500 0.6922
O33 0.9873 0.9559 0.1572
O34 0.6998 0.7500 0.8078
O35 0.6593 0.2500 0.8308
O36 0.3002 0.2500 0.1922
Ta1 0.5000 0.5000 0.5000
Ta2 0.0000 0.0000 0.0000
Ta3 0.2007 0.0024 0.7124
Ta4 0.7007 0.4976 0.7876
Ta5 0.2993 0.9976 0.2124
Ta6 0.2993 0.5024 0.2124
Ta7 0.7993 0.9976 0.2876
Ta8 0.7007 0.0024 0.7876
Ta9 0.7993 0.5024 0.2876
Ta10 0.2007 0.4976 0.7124
Ta11 0.0000 0.5000 0.0000
Ta12 0.5000 0.0000 0.5000
Y1 0.4419 0.7500 0.9659
Y2 0.9419 0.7500 0.5341
Y3 0.0581 0.2500 0.4659
Y4 0.5581 0.2500 0.0341